(1)
The following is a DFT calculation (PBE-GGA) of an optimized crystal structure of Rb2Tl2Bi.

Output
* offset from the most stable computed form: 0.000 eV per atom
* crystal system: monoclinic
* energy relative to the elements: -0.21 eV/atom
* M_tot: 0.0 μB per formula unit

Cell and atoms, written as CIF:
```
data_Rb2Tl2Bi
_chemical_formula_sum 'Rb8 Tl8 Bi4'
_cell_length_a 12.7989
_cell_length_b 8.1177
_cell_length_c 8.7983
_cell_angle_alpha 90.00
_cell_angle_beta 109.10
_cell_angle_gamma 90.00
_space_group_name_H-M_alt 'C 1 2/c 1'
_space_group_IT_number 15
_space_group_name_Hall '-C 2yc'
loop_
_atom_site_label
_atom_site_type_symbol
_atom_site_fract_x
_atom_site_fract_y
_atom_site_fract_z
_atom_site_occupancy
Rb1 Rb 0.1740 0.0773 0.1491 1
Tl1 Tl 0.0882 0.3737 0.4453 1
Bi1 Bi 0.0000 0.2865 0.7500 1
```


(2)
The following is a DFT calculation (PBE-GGA) of an optimized crystal structure of Mg2MnBr.

Output
* offset from the most stable computed form: 0.309 eV per atom
* crystal system: tetragonal
* M_tot: 4.0 μB per formula unit
* E_form (uncorrected): 0.186 eV per atom

Cell and atoms, written as CIF:
```
data_Mg2MnBr
_chemical_formula_sum 'Mg8 Mn4 Br4'
_cell_length_a 7.6859
_cell_length_b 7.6859
_cell_length_c 6.5169
_cell_angle_alpha 90.00
_cell_angle_beta 90.00
_cell_angle_gamma 90.00
_space_group_name_H-M_alt 'I -4 2 d'
_space_group_IT_number 122
_space_group_name_Hall 'I -4 2bw'
loop_
_atom_site_label
_atom_site_type_symbol
_atom_site_fract_x
_atom_site_fract_y
_atom_site_fract_z
_atom_site_occupancy
Mg1 Mg 0.2432 0.7500 0.1250 1
Mn1 Mn 0.0000 0.0000 0.5000 1
Br1 Br 0.0000 0.0000 0.0000 1
```


(3)
The following is a DFT calculation (PBE-GGA) of an optimized crystal structure of Al2Bi2Rh.

Output
* offset from the most stable computed form: 0.721 eV per atom
* crystal system: tetragonal
* energy relative to the elements: 0.76 eV/atom
* M_tot: 0.0 μB per formula unit

Cell and atoms, written as CIF:
```
data_Al2Bi2Rh
_chemical_formula_sum 'Al4 Bi4 Rh2'
_cell_length_a 4.4552
_cell_length_b 4.4552
_cell_length_c 12.7988
_cell_angle_alpha 90.00
_cell_angle_beta 90.00
_cell_angle_gamma 90.00
_space_group_name_H-M_alt 'I 4/m m m'
_space_group_IT_number 139
_space_group_name_Hall '-I 4 2'
loop_
_atom_site_label
_atom_site_type_symbol
_atom_site_fract_x
_atom_site_fract_y
_atom_site_fract_z
_atom_site_occupancy
Al1 Al 0.0000 0.0000 0.0944 1
Bi1 Bi 0.0000 0.5000 0.2500 1
Rh1 Rh 0.0000 0.0000 0.5000 1
```


(4)
The following is a DFT calculation (PBE-GGA) of an optimized crystal structure of CeNpNO.

Output
* crystal system: cubic
* M_tot: 5.3 μB per formula unit
* E_form (uncorrected): -1.281 eV per atom

Cell and atoms, written as CIF:
```
data_CeNpNO
_chemical_formula_sum 'Ce4 Np4 N4 O4'
_cell_length_a 6.0911
_cell_length_b 6.0911
_cell_length_c 6.0911
_cell_angle_alpha 90.00
_cell_angle_beta 90.00
_cell_angle_gamma 90.00
_space_group_name_H-M_alt 'F -4 3 m'
_space_group_IT_number 216
_space_group_name_Hall 'F -4 2 3'
loop_
_atom_site_label
_atom_site_type_symbol
_atom_site_fract_x
_atom_site_fract_y
_atom_site_fract_z
_atom_site_occupancy
Ce1 Ce 0.0000 0.0000 0.0000 1
Np1 Np 0.0000 0.0000 0.5000 1
N1 N 0.2500 0.2500 0.7500 1
O1 O 0.2500 0.2500 0.2500 1
```